CoAgMoPd2: relaxed, PBE-GGA.

## Properties
ΔE_f = 1.6703 eV per atom
symmetry = P4/mmm, No. 123

Geometry as POSCAR:
```
CoAgMoPd2
1.0
-1.795 4.264 -0.989
-4.389 -2.160 -1.349
-1.554 0.378 4.453
Mo Co Pd Ag
1 1 2 1
direct
0.000 0.000 0.000
0.500 0.500 0.500
0.000 0.000 0.500
0.500 0.000 0.000
0.000 0.500 0.000
```